# Li2CoIr (PBE-GGA, relaxed)
# Offset from the most stable computed form   1.265 eV per formula unit
# Mass density   9.0 g cm⁻³
# E_form   1.00 eV/f.u.
# DOS(E_F)   4.39 states/eV per cell
data_Li2CoIr
_chemical_formula_sum 'Li2 Co1 Ir1'
_space_group_name_H-M_alt 'P 4/m m m'
_space_group_IT_number 123
_space_group_name_Hall '-P 4 2'
_cell_length_a 3.118
_cell_length_b 3.118
_cell_length_c 5.030
_cell_angle_alpha 90.00
_cell_angle_beta 90.00
_cell_angle_gamma 90.00
loop_
_atom_site_label
_atom_site_type_symbol
_atom_site_fract_x
_atom_site_fract_y
_atom_site_fract_z
Li1 Li 0.000 0.000 0.249
Co1 Co 0.500 0.500 0.000
Ir1 Ir 0.500 0.500 0.500